(1)
Compound: HoNi9Sn2
Source: the Alexandria database
Functional: PBE
Structure: optimized geometry

Calculated values
Volume (Å³ per cell): 327.79
Formation enthalpy at 0 K (eV/atom): -0.2454
Energy above the lowest structure with this stoichiometry (eV per atom): 0.000

a b c (Å): 4.8683 8.2056 8.2056
angles (deg): 90.00 90.00 90.00
With the nearest neighbours (Å) after each atom.
Fractional positions:
1 Sn 0.0000 0.3718 0.8718  12 Ni 2.59-2.85
2 Sn 0.0000 0.8718 0.6282  12 Ni 2.59-2.85
3 Sn 0.0000 0.6282 0.1282  12 Ni 2.59-2.85
4 Sn 0.0000 0.1282 0.3718  12 Ni 2.59-2.85
5 Ni 0.5000 0.2048 0.9348  8 Ni 2.48-2.67
6 Ni 0.7543 0.8261 0.3261  7 Ni 2.37-2.52, 1 Sn 2.59
7 Ni 0.7543 0.1739 0.6739  7 Ni 2.37-2.52, 1 Sn 2.59
8 Ni 0.5000 0.9348 0.7952  8 Ni 2.48-2.67
9 Ni 0.7543 0.6739 0.8261  7 Ni 2.37-2.52, 1 Sn 2.59
10 Ni 0.2457 0.3261 0.1739  7 Ni 2.37-2.52, 1 Sn 2.59
11 Ni 0.5000 0.7952 0.0652  8 Ni 2.48-2.67
12 Ni 0.2457 0.6739 0.8261  7 Ni 2.37-2.52, 1 Sn 2.59
13 Ni 0.2457 0.8261 0.3261  7 Ni 2.37-2.52, 1 Sn 2.59
14 Ni 0.5000 0.0000 0.5000  8 Ni 2.37-2.48
15 Ni 0.5000 0.5652 0.2952  8 Ni 2.48-2.67
16 Ni 0.2457 0.1739 0.6739  7 Ni 2.37-2.52, 1 Sn 2.59
17 Ni 0.5000 0.7048 0.5652  8 Ni 2.48-2.67
18 Ni 0.7543 0.3261 0.1739  7 Ni 2.37-2.52, 1 Sn 2.59
19 Ni 0.5000 0.0652 0.2048  8 Ni 2.48-2.67
20 Ni 0.5000 0.5000 0.0000  8 Ni 2.37-2.48
21 Ni 0.5000 0.2952 0.4348  8 Ni 2.48-2.67
22 Ni 0.5000 0.4348 0.7048  8 Ni 2.48-2.67
23 Ho 0.0000 0.0000 0.0000  16 Ni 3.01-3.26, 4 Sn 3.23
24 Ho 0.0000 0.5000 0.5000  16 Ni 3.01-3.26, 4 Sn 3.23

(2)
Compound: HoNiSn3
Source: the Alexandria database
Functional: PBE
Structure: optimized geometry

Calculated values
Volume (Å³ per cell): 244.89
Formation enthalpy at 0 K (eV/atom): -0.2905

a b c (Å): 4.2657 6.7572 9.1430
angles (deg): 111.69 90.00 90.00
With the nearest neighbours (Å) after each atom.
Fractional positions:
1 Sn 0.2500 0.6690 0.8627  3 Ni 2.62-2.87
2 Sn 0.7500 0.3223 0.6178  1 Ni 2.59, 1 Sn 2.89
3 Sn 0.7500 0.8063 0.1373  3 Ni 2.62-2.87
4 Sn 0.7500 0.7487 0.6145  3 Sn 2.89-2.95
5 Sn 0.2500 0.7045 0.3822  1 Ni 2.59, 1 Sn 2.89
6 Sn 0.2500 0.1342 0.3855  3 Sn 2.89-2.95
7 Ho 0.2500 0.1237 0.8002  3 Ni 2.86-2.88
8 Ho 0.7500 0.3234 0.1998  3 Ni 2.86-2.88
9 Ni 0.7500 0.4229 0.9194  2 Ni 2.53, 2 Sn 2.59-2.62
10 Ni 0.2500 0.5034 0.0806  2 Ni 2.53, 2 Sn 2.59-2.62

(3)
Compound: Ho12Ni5Sn
Source: the Alexandria database
Functional: PBE
Structure: optimized geometry

Calculated values
Volume (Å³ per cell): 436.52
Formation enthalpy at 0 K (eV/atom): -0.3911

a b c (Å): 8.2815 8.2815 8.2815
angles (deg): 107.00 111.57 109.88
With the nearest neighbours (Å) after each atom.
Fractional positions:
1 Sn 0.0000 0.5000 0.5000  12 Ho 3.34-3.58
2 Ho 0.3052 0.3218 0.6270  3 Ni 2.66-2.83
3 Ho 0.8085 0.5966 0.7880  2 Ni 2.66-2.77
4 Ho 0.1915 0.9795 0.7880  2 Ni 2.66-2.77
5 Ho 0.4757 0.1817 0.2940  2 Ni 2.86
6 Ho 0.1915 0.4034 0.2120  2 Ni 2.66-2.77
7 Ho 0.6948 0.6782 0.3730  3 Ni 2.66-2.83
8 Ho 0.6948 0.3218 0.0166  3 Ni 2.66-2.83
9 Ho 0.5243 0.8183 0.7060  2 Ni 2.86
10 Ho 0.8878 0.1817 0.7060  2 Ni 2.86
11 Ho 0.1122 0.8183 0.2940  2 Ni 2.86
12 Ho 0.8085 0.0205 0.2120  2 Ni 2.66-2.77
13 Ho 0.3052 0.6782 0.9834  3 Ni 2.66-2.83
14 Ni 0.5000 0.1240 0.6240  1 Ni 2.44, 2 Ho 2.66
15 Ni 0.5000 0.8760 0.3760  1 Ni 2.44, 2 Ho 2.66
16 Ni 0.6352 0.6352 0.0000  1 Ni 2.57, 6 Ho 2.66-2.83
17 Ni 0.3648 0.3648 0.0000  1 Ni 2.57, 6 Ho 2.66-2.83
18 Ni 0.0000 0.0000 0.0000  4 Ho 2.77